Run one
Crystalline Li4MgSn2 at its relaxed geometry. Source: Alexandria via LeMat-Bulk, functional PBE-GGA.

```
data_Li4MgSn2
_chemical_formula_sum 'Li4 Mg1 Sn2'
_cell_length_a 4.714
_cell_length_b 4.714
_cell_length_c 7.959
_cell_angle_alpha 72.77
_cell_angle_beta 72.77
_cell_angle_gamma 60.00
_space_group_name_H-M_alt 'P 1'
_space_group_IT_number 1
_space_group_name_Hall 'P 1'
loop_
_atom_site_label
_atom_site_type_symbol
_atom_site_fract_x
_atom_site_fract_y
_atom_site_fract_z
_atom_site_occupancy
Li1 Li 0.130 0.130 0.610 1
Li2 Li 0.608 0.608 0.176 1
Li3 Li 0.392 0.392 0.824 1
Li4 Li 0.870 0.870 0.390 1
Mg1 Mg 0.000 0.000 0.000 1
Sn1 Sn 0.742 0.742 0.775 1
Sn2 Sn 0.258 0.258 0.225 1
```

Results
D(E_F) = 0.32 states/eV/atom
Total magnetic moment = 0.0 μB/cell

Run two
Crystalline Li4MgSn2 at its relaxed geometry. Source: Alexandria via LeMat-Bulk, functional PBE-GGA.

```
data_Li4MgSn2
_chemical_formula_sum 'Li4 Mg1 Sn2'
_cell_length_a 4.909
_cell_length_b 4.909
_cell_length_c 7.847
_cell_angle_alpha 71.77
_cell_angle_beta 71.77
_cell_angle_gamma 90.00
_space_group_name_H-M_alt 'P 1'
_space_group_IT_number 1
_space_group_name_Hall 'P 1'
loop_
_atom_site_label
_atom_site_type_symbol
_atom_site_fract_x
_atom_site_fract_y
_atom_site_fract_z
_atom_site_occupancy
Sn1 Sn 0.394 0.394 0.211 1
Sn2 Sn 0.606 0.606 0.789 1
Li1 Li 0.803 0.803 0.393 1
Li2 Li 0.500 0.000 0.000 1
Li3 Li 0.000 0.500 0.000 1
Li4 Li 0.197 0.197 0.607 1
Mg1 Mg 0.000 0.000 0.000 1
```

Results
D(E_F) = 0.28 states/eV/atom
Total magnetic moment = 0.0 μB/cell

Run three
Crystalline Li4MgSn2 at its relaxed geometry. Source: Alexandria via LeMat-Bulk, functional PBE-GGA.

```
data_Li4MgSn2
_chemical_formula_sum 'Li8 Mg2 Sn4'
_cell_length_a 8.424
_cell_length_b 5.173
_cell_length_c 7.246
_cell_angle_alpha 90.00
_cell_angle_beta 114.78
_cell_angle_gamma 90.00
_space_group_name_H-M_alt 'P 1'
_space_group_IT_number 1
_space_group_name_Hall 'P 1'
loop_
_atom_site_label
_atom_site_type_symbol
_atom_site_fract_x
_atom_site_fract_y
_atom_site_fract_z
_atom_site_occupancy
Li1 Li 0.611 0.492 0.197 1
Li2 Li 0.389 0.992 0.803 1
Li3 Li 0.611 0.008 0.197 1
Li4 Li 0.016 0.750 0.369 1
Li5 Li 0.984 0.250 0.631 1
Li6 Li 0.922 0.250 0.071 1
Li7 Li 0.389 0.508 0.803 1
Li8 Li 0.078 0.750 0.929 1
Mg1 Mg 0.617 0.250 0.635 1
Mg2 Mg 0.383 0.750 0.365 1
Sn1 Sn 0.222 0.250 0.440 1
Sn2 Sn 0.778 0.750 0.560 1
Sn3 Sn 0.267 0.250 0.056 1
Sn4 Sn 0.733 0.750 0.944 1
```

Results
D(E_F) = 0.10 states/eV/atom
Total magnetic moment = 0.0 μB/cell

run one is the most stable structure; the next one sits 2.2 kJ/mol of atoms above it.

Run one
Crystalline LiMg3Sn at its relaxed geometry. Source: Alexandria via LeMat-Bulk, functional PBE-GGA.

```
data_LiMg3Sn
_chemical_formula_sum 'Li4 Mg12 Sn4'
_cell_length_a 7.973
_cell_length_b 7.945
_cell_length_c 9.360
_cell_angle_alpha 129.55
_cell_angle_beta 90.00
_cell_angle_gamma 90.00
_space_group_name_H-M_alt 'P 1'
_space_group_IT_number 1
_space_group_name_Hall 'P 1'
loop_
_atom_site_label
_atom_site_type_symbol
_atom_site_fract_x
_atom_site_fract_y
_atom_site_fract_z
_atom_site_occupancy
Li1 Li 0.920 0.702 0.235 1
Li2 Li 0.580 0.702 0.735 1
Li3 Li 0.080 0.298 0.765 1
Li4 Li 0.420 0.298 0.265 1
Mg1 Mg 0.080 0.269 0.101 1
Mg2 Mg 0.612 0.906 0.170 1
Mg3 Mg 0.186 0.579 0.577 1
Mg4 Mg 0.888 0.906 0.670 1
Mg5 Mg 0.580 0.731 0.399 1
Mg6 Mg 0.420 0.269 0.601 1
Mg7 Mg 0.388 0.094 0.830 1
Mg8 Mg 0.814 0.421 0.423 1
Mg9 Mg 0.686 0.421 0.923 1
Mg10 Mg 0.314 0.579 0.077 1
Mg11 Mg 0.920 0.731 0.899 1
Mg12 Mg 0.112 0.094 0.330 1
Sn1 Sn 0.217 0.853 0.467 1
Sn2 Sn 0.283 0.853 0.967 1
Sn3 Sn 0.783 0.147 0.533 1
Sn4 Sn 0.717 0.147 0.033 1
```

Results
D(E_F) = 0.42 states/eV/atom
Total magnetic moment = 0.0 μB/cell

Run two
Crystalline LiMg3Sn at its relaxed geometry. Source: Alexandria via LeMat-Bulk, functional PBE-GGA.

```
data_LiMg3Sn
_chemical_formula_sum 'Li4 Mg12 Sn4'
_cell_length_a 4.421
_cell_length_b 6.291
_cell_length_c 15.605
_cell_angle_alpha 90.00
_cell_angle_beta 90.00
_cell_angle_gamma 90.00
_space_group_name_H-M_alt 'P 1'
_space_group_IT_number 1
_space_group_name_Hall 'P 1'
loop_
_atom_site_label
_atom_site_type_symbol
_atom_site_fract_x
_atom_site_fract_y
_atom_site_fract_z
_atom_site_occupancy
Mg1 Mg 0.750 0.874 0.752 1
Mg2 Mg 0.750 0.374 0.748 1
Mg3 Mg 0.750 0.375 0.149 1
Mg4 Mg 0.250 0.129 0.449 1
Mg5 Mg 0.250 0.625 0.851 1
Mg6 Mg 0.750 0.875 0.351 1
Mg7 Mg 0.750 0.871 0.551 1
Mg8 Mg 0.750 0.371 0.949 1
Mg9 Mg 0.250 0.125 0.649 1
Mg10 Mg 0.250 0.126 0.248 1
Mg11 Mg 0.250 0.626 0.252 1
Mg12 Mg 0.250 0.629 0.051 1
Sn1 Sn 0.750 0.883 0.145 1
Sn2 Sn 0.750 0.383 0.355 1
Sn3 Sn 0.250 0.617 0.645 1
Sn4 Sn 0.250 0.117 0.855 1
Li1 Li 0.750 0.877 0.950 1
Li2 Li 0.250 0.623 0.450 1
Li3 Li 0.750 0.377 0.550 1
Li4 Li 0.250 0.123 0.050 1
```

Results
D(E_F) = 0.41 states/eV/atom
Total magnetic moment = 0.0 μB/cell

Run three
Crystalline LiMg3Sn at its relaxed geometry. Source: Alexandria via LeMat-Bulk, functional PBE-GGA.

```
data_LiMg3Sn
_chemical_formula_sum 'Li1 Mg3 Sn1'
_cell_length_a 4.928
_cell_length_b 4.928
_cell_length_c 4.928
_cell_angle_alpha 90.00
_cell_angle_beta 90.00
_cell_angle_gamma 90.00
_space_group_name_H-M_alt 'P 1'
_space_group_IT_number 1
_space_group_name_Hall 'P 1'
loop_
_atom_site_label
_atom_site_type_symbol
_atom_site_fract_x
_atom_site_fract_y
_atom_site_fract_z
_atom_site_occupancy
Mg1 Mg 0.000 0.000 0.500 1
Mg2 Mg 0.000 0.500 0.000 1
Mg3 Mg 0.500 0.000 0.000 1
Sn1 Sn 0.500 0.500 0.500 1
Li1 Li 0.000 0.000 0.000 1
```

Results
D(E_F) = 0.36 states/eV/atom
Total magnetic moment = 0.0 μB/cell

run two is the most stable structure; the next one sits 4.3 kJ/mol of atoms above it.

Run one
Crystalline Li2Mg3Sn at its relaxed geometry. Source: Alexandria via LeMat-Bulk, functional PBE-GGA.

```
data_Li2Mg3Sn
_chemical_formula_sum 'Li4 Mg6 Sn2'
_cell_length_a 4.486
_cell_length_b 6.985
_cell_length_c 9.514
_cell_angle_alpha 114.32
_cell_angle_beta 90.00
_cell_angle_gamma 108.73
_space_group_name_H-M_alt 'P 1'
_space_group_IT_number 1
_space_group_name_Hall 'P 1'
loop_
_atom_site_label
_atom_site_type_symbol
_atom_site_fract_x
_atom_site_fract_y
_atom_site_fract_z
_atom_site_occupancy
Li1 Li 0.463 0.925 0.115 1
Li2 Li 0.537 0.075 0.885 1
Li3 Li 0.220 0.440 0.888 1
Li4 Li 0.780 0.560 0.112 1
Mg1 Mg 0.705 0.411 0.364 1
Mg2 Mg 0.040 0.081 0.365 1
Mg3 Mg 0.377 0.754 0.371 1
Mg4 Mg 0.960 0.919 0.635 1
Mg5 Mg 0.295 0.589 0.636 1
Mg6 Mg 0.623 0.246 0.629 1
Sn1 Sn 0.131 0.263 0.116 1
Sn2 Sn 0.869 0.737 0.884 1
```

Results
D(E_F) = 0.34 states/eV/atom
Total magnetic moment = 0.0 μB/cell

Run two
Crystalline Li2Mg3Sn at its relaxed geometry. Source: Alexandria via LeMat-Bulk, functional PBE-GGA.

```
data_Li2Mg3Sn
_chemical_formula_sum 'Li2 Mg3 Sn1'
_cell_length_a 5.674
_cell_length_b 5.674
_cell_length_c 4.885
_cell_angle_alpha 90.00
_cell_angle_beta 90.00
_cell_angle_gamma 120.00
_space_group_name_H-M_alt 'P 1'
_space_group_IT_number 1
_space_group_name_Hall 'P 1'
loop_
_atom_site_label
_atom_site_type_symbol
_atom_site_fract_x
_atom_site_fract_y
_atom_site_fract_z
_atom_site_occupancy
Sn1 Sn 0.000 0.000 0.000 1
Mg1 Mg 0.500 0.000 0.500 1
Mg2 Mg 0.000 0.500 0.500 1
Mg3 Mg 0.500 0.500 0.500 1
Li1 Li 0.333 0.667 0.000 1
Li2 Li 0.667 0.333 0.000 1
```

Results
D(E_F) = 0.26 states/eV/atom
Total magnetic moment = 0.0 μB/cell

run one is the most stable structure; the next one sits 19.0 kJ/mol of atoms above it.

Run one
Crystalline LiMg14Sn at its relaxed geometry. Source: Alexandria via LeMat-Bulk, functional PBE-GGA.

```
data_LiMg14Sn
_chemical_formula_sum 'Li1 Mg14 Sn1'
_cell_length_a 6.428
_cell_length_b 6.428
_cell_length_c 10.274
_cell_angle_alpha 90.00
_cell_angle_beta 90.00
_cell_angle_gamma 121.44
_space_group_name_H-M_alt 'P 1'
_space_group_IT_number 1
_space_group_name_Hall 'P 1'
loop_
_atom_site_label
_atom_site_type_symbol
_atom_site_fract_x
_atom_site_fract_y
_atom_site_fract_z
_atom_site_occupancy
Mg1 Mg 0.170 0.334 0.254 1
Mg2 Mg 0.666 0.334 0.748 1
Mg3 Mg 0.666 0.830 0.746 1
Mg4 Mg 0.169 0.831 0.251 1
Mg5 Mg 0.830 0.670 0.000 1
Mg6 Mg 0.332 0.161 0.500 1
Mg7 Mg 0.169 0.831 0.749 1
Mg8 Mg 0.666 0.830 0.254 1
Mg9 Mg 0.839 0.668 0.500 1
Mg10 Mg 0.330 0.170 0.000 1
Mg11 Mg 0.666 0.334 0.252 1
Mg12 Mg 0.331 0.669 0.000 1
Mg13 Mg 0.830 0.170 0.000 1
Mg14 Mg 0.170 0.334 0.746 1
Li1 Li 0.332 0.668 0.500 1
Sn1 Sn 0.834 0.166 0.500 1
```

Results
D(E_F) = 0.52 states/eV/atom
Total magnetic moment = 0.0 μB/cell

Run two
Crystalline LiMg14Sn at its relaxed geometry. Source: Alexandria via LeMat-Bulk, functional PBE-GGA.

```
data_LiMg14Sn
_chemical_formula_sum 'Li1 Mg14 Sn1'
_cell_length_a 6.401
_cell_length_b 6.401
_cell_length_c 10.207
_cell_angle_alpha 90.00
_cell_angle_beta 90.00
_cell_angle_gamma 120.00
_space_group_name_H-M_alt 'P 1'
_space_group_IT_number 1
_space_group_name_Hall 'P 1'
loop_
_atom_site_label
_atom_site_type_symbol
_atom_site_fract_x
_atom_site_fract_y
_atom_site_fract_z
_atom_site_occupancy
Mg1 Mg 0.667 0.833 0.750 1
Mg2 Mg 0.167 0.333 0.250 1
Mg3 Mg 0.667 0.333 0.249 1
Mg4 Mg 0.501 0.499 0.000 1
Mg5 Mg 0.500 0.500 0.500 1
Mg6 Mg 0.000 0.500 0.500 1
Mg7 Mg 0.501 0.003 0.000 1
Mg8 Mg 0.997 0.499 0.000 1
Mg9 Mg 0.167 0.833 0.250 1
Mg10 Mg 0.667 0.833 0.250 1
Mg11 Mg 0.167 0.833 0.750 1
Mg12 Mg 0.667 0.333 0.751 1
Mg13 Mg 0.167 0.333 0.750 1
Mg14 Mg 0.500 0.000 0.500 1
Sn1 Sn 0.000 0.000 0.000 1
Li1 Li 0.000 0.000 0.500 1
```

Results
D(E_F) = 0.47 states/eV/atom
Total magnetic moment = 0.0 μB/cell

run one is the most stable structure; the next one sits 0.6 kJ/mol of atoms above it.

Run one
Crystalline Li7MgSn4 at its relaxed geometry. Source: Alexandria via LeMat-Bulk, functional PBE-GGA.

```
data_Li7MgSn4
_chemical_formula_sum 'Li7 Mg1 Sn4'
_cell_length_a 4.932
_cell_length_b 8.278
_cell_length_c 7.120
_cell_angle_alpha 79.88
_cell_angle_beta 69.73
_cell_angle_gamma 72.67
_space_group_name_H-M_alt 'P 1'
_space_group_IT_number 1
_space_group_name_Hall 'P 1'
loop_
_atom_site_label
_atom_site_type_symbol
_atom_site_fract_x
_atom_site_fract_y
_atom_site_fract_z
_atom_site_occupancy
Sn1 Sn 0.571 0.204 0.654 1
Sn2 Sn 0.304 0.346 0.046 1
Sn3 Sn 0.696 0.654 0.954 1
Sn4 Sn 0.429 0.796 0.346 1
Li1 Li 0.351 0.592 0.705 1
Li2 Li 0.649 0.408 0.295 1
Li3 Li 0.500 0.000 0.000 1
Li4 Li 0.784 0.857 0.575 1
Li5 Li 0.216 0.143 0.425 1
Li6 Li 0.940 0.351 0.769 1
Li7 Li 0.060 0.649 0.231 1
Mg1 Mg 0.000 0.000 0.000 1
```

Results
D(E_F) = 0.29 states/eV/atom
Total magnetic moment = 0.0 μB/cell

Run two
Crystalline Li7MgSn4 at its relaxed geometry. Source: Alexandria via LeMat-Bulk, functional PBE-GGA.

```
data_Li7MgSn4
_chemical_formula_sum 'Li7 Mg1 Sn4'
_cell_length_a 5.514
_cell_length_b 7.575
_cell_length_c 7.853
_cell_angle_alpha 80.09
_cell_angle_beta 90.38
_cell_angle_gamma 50.44
_space_group_name_H-M_alt 'P 1'
_space_group_IT_number 1
_space_group_name_Hall 'P 1'
loop_
_atom_site_label
_atom_site_type_symbol
_atom_site_fract_x
_atom_site_fract_y
_atom_site_fract_z
_atom_site_occupancy
Sn1 Sn 0.792 0.850 0.713 1
Sn2 Sn 0.208 0.150 0.287 1
Sn3 Sn 0.552 0.628 0.261 1
Sn4 Sn 0.448 0.372 0.739 1
Li1 Li 0.341 0.800 0.585 1
Li2 Li 0.020 0.303 0.613 1
Li3 Li 0.500 0.000 0.000 1
Li4 Li 0.752 0.509 0.929 1
Li5 Li 0.248 0.491 0.071 1
Li6 Li 0.980 0.697 0.387 1
Li7 Li 0.659 0.200 0.415 1
Mg1 Mg 0.000 0.000 0.000 1
```

Results
D(E_F) = 0.33 states/eV/atom
Total magnetic moment = 0.0 μB/cell

run two is the most stable structure; the next one sits 7.1 kJ/mol of atoms above it.

Run one
Crystalline SrLi9Mg2 at its relaxed geometry. Source: Alexandria via LeMat-Bulk, functional PBE-GGA.

```
data_SrLi9Mg2
_chemical_formula_sum 'Sr2 Li18 Mg4'
_cell_length_a 5.803
_cell_length_b 9.715
_cell_length_c 9.715
_cell_angle_alpha 90.00
_cell_angle_beta 90.00
_cell_angle_gamma 90.00
_space_group_name_H-M_alt 'P 1'
_space_group_IT_number 1
_space_group_name_Hall 'P 1'
loop_
_atom_site_label
_atom_site_type_symbol
_atom_site_fract_x
_atom_site_fract_y
_atom_site_fract_z
_atom_site_occupancy
Mg1 Mg 0.000 0.384 0.884 1
Mg2 Mg 0.000 0.616 0.116 1
Mg3 Mg 0.000 0.884 0.616 1
Mg4 Mg 0.000 0.116 0.384 1
Li1 Li 0.500 0.213 0.931 1
Li2 Li 0.766 0.824 0.324 1
Li3 Li 0.766 0.324 0.176 1
Li4 Li 0.500 0.500 0.000 1
Li5 Li 0.766 0.176 0.676 1
Li6 Li 0.234 0.676 0.824 1
Li7 Li 0.500 0.787 0.069 1
Li8 Li 0.500 0.931 0.787 1
Li9 Li 0.500 0.431 0.713 1
Li10 Li 0.766 0.676 0.824 1
Li11 Li 0.234 0.176 0.676 1
Li12 Li 0.500 0.287 0.431 1
Li13 Li 0.500 0.713 0.569 1
Li14 Li 0.500 0.569 0.287 1
Li15 Li 0.500 0.000 0.500 1
Li16 Li 0.234 0.324 0.176 1
Li17 Li 0.500 0.069 0.213 1
Li18 Li 0.234 0.824 0.324 1
Sr1 Sr 0.000 0.000 0.000 1
Sr2 Sr 0.000 0.500 0.500 1
```

Results
D(E_F) = 0.57 states/eV/atom
Total magnetic moment = 0.0 μB/cell

Run two
Crystalline SrLi9Mg2 at its relaxed geometry. Source: Alexandria via LeMat-Bulk, functional PBE-GGA.

```
data_SrLi9Mg2
_chemical_formula_sum 'Sr1 Li9 Mg2'
_cell_length_a 3.250
_cell_length_b 10.124
_cell_length_c 10.124
_cell_angle_alpha 120.00
_cell_angle_beta 90.00
_cell_angle_gamma 90.00
_space_group_name_H-M_alt 'P 1'
_space_group_IT_number 1
_space_group_name_Hall 'P 1'
loop_
_atom_site_label
_atom_site_type_symbol
_atom_site_fract_x
_atom_site_fract_y
_atom_site_fract_z
_atom_site_occupancy
Li1 Li 0.000 0.000 0.500 1
Li2 Li 0.500 0.815 0.630 1
Li3 Li 0.500 0.185 0.815 1
Li4 Li 0.000 0.500 0.000 1
Li5 Li 0.500 0.185 0.370 1
Li6 Li 0.500 0.630 0.815 1
Li7 Li 0.500 0.815 0.185 1
Li8 Li 0.500 0.370 0.185 1
Li9 Li 0.000 0.500 0.500 1
Sr1 Sr 0.000 0.000 0.000 1
Mg1 Mg 0.000 0.333 0.667 1
Mg2 Mg 0.000 0.667 0.333 1
```

Results
D(E_F) = 0.48 states/eV/atom
Total magnetic moment = 0.5 μB/cell

run one is the most stable structure; the next one sits 7.2 kJ/mol of atoms above it.